Ba3LiRe2N6: optimized geometry, GGA-PBE.

abc: 6.1691 6.1691 7.2635
angles: 90.00 90.00 120.00
Element x y z (fractional)
1 Ba 0.3333 0.6667 0.6735
2 Ba 0.6667 0.3333 0.3265
3 Ba 0.0000 0.0000 0.0000
4 Li 0.0000 0.0000 0.5000
5 Re 0.6667 0.3333 0.7853
6 Re 0.3333 0.6667 0.2147
7 N 0.6537 0.8269 0.2886
8 N 0.1731 0.3463 0.2886
9 N 0.1731 0.8269 0.2886
10 N 0.8269 0.6537 0.7114
11 N 0.3463 0.1731 0.7114
12 N 0.8269 0.1731 0.7114

Output
The calculation puts the energy relative to the elements, uncorrected at -50 kJ per mole of atoms. As for the symmetry: P-3m1, No. 164.

---

BaLiRhN2: optimized geometry, GGA-PBE.

abc: 4.2998 4.2473 4.2998
angles: 90.00 90.00 90.00
Each line ends with the local moment (μB).
Element x y z (fractional)
1 Li 0.0000 0.0000 0.0000  -0.01
2 Rh 0.0000 0.5000 0.0000  0.50
3 Ba 0.5000 0.5000 0.5000  -0.01
4 N 0.0000 0.0000 0.5000  0.76
5 N 0.5000 0.0000 0.0000  0.78

Output
The calculation puts the energy relative to the elements, uncorrected at 107 kJ per mole of atoms. As for the symmetry: P4/mmm, No. 123.

---

BaLiRhN: optimized geometry, GGA-PBE.

abc: 3.5742 4.1324 5.9655
angles: 110.26 107.43 90.00
Element x y z (fractional)
1 Ba 0.9636 0.9636 0.9272
2 Li 0.2444 0.2444 0.4888
3 Rh 0.6662 0.6662 0.3324
4 N 0.2412 0.7412 0.4823

Output
The calculation puts the energy relative to the elements, uncorrected at -24 kJ per mole of atoms. As for the symmetry: Imm2, No. 44.

---

Ba2LiRuN: optimized geometry, GGA-PBE.

abc: 5.8805 5.8805 3.8454
angles: 90.00 90.00 90.00
Element x y z (fractional)
1 Ru 0.0000 0.0000 0.5000
2 Li 0.5000 0.5000 0.5000
3 Ba 0.0000 0.5000 0.0000
4 Ba 0.5000 0.0000 0.0000
5 N 0.0000 0.0000 0.0000

Output
The calculation puts the energy relative to the elements, uncorrected at -17 kJ per mole of atoms. As for the symmetry: P4/mmm, No. 123.

---

BaLiSeN2: optimized geometry, GGA-PBE.

abc: 4.5978 4.5978 4.8633
angles: 90.00 90.00 90.00
Each line ends with the local moment (μB).
Element x y z (fractional)
1 Li 0.0000 0.0000 0.0000  0.03
2 Ba 0.5000 0.5000 0.5000  0.02
3 Se 0.0000 0.0000 0.5000  0.42
4 N 0.0000 0.5000 0.0000  1.45
5 N 0.5000 0.0000 0.0000  1.45

Output
The calculation puts the energy relative to the elements, uncorrected at 60 kJ per mole of atoms. As for the symmetry: P4/mmm, No. 123.

---

BaLiSe2N: optimized geometry, GGA-PBE.

abc: 6.2224 6.2224 5.2857
angles: 90.00 90.00 90.00
Each line ends with the local moment (μB).
Element x y z (fractional)
1 Li 0.5000 0.5000 0.5000  0.00
2 Ba 0.0000 0.0000 0.0000  0.04
3 Se 0.0000 0.5000 0.0000  0.48
4 Se 0.5000 0.0000 0.0000  0.48
5 N 0.0000 0.0000 0.5000  1.47

Output
The calculation puts the energy relative to the elements, uncorrected at 46 kJ per mole of atoms. As for the symmetry: P4/mmm, No. 123.

---

BaLiSeN2: optimized geometry, GGA-PBE.

abc: 5.2432 5.2432 6.3536
angles: 90.00 90.00 90.00
Each line ends with the local moment (μB).
Element x y z (fractional)
1 Li 0.5000 0.5000 0.5000  0.00
2 Ba 0.0000 0.0000 0.0000  0.05
3 Se 0.0000 0.0000 0.5000  0.15
4 N 0.0000 0.5000 0.0000  1.42
5 N 0.5000 0.0000 0.0000  1.42

Output
The calculation puts the energy relative to the elements, uncorrected at 107 kJ per mole of atoms. As for the symmetry: P4/mmm, No. 123.

---

Ba2LiSeN: optimized geometry, GGA-PBE.

abc: 5.5995 5.5995 4.1399
angles: 90.00 90.00 90.00
Element x y z (fractional)
1 Li 0.0000 0.0000 0.5000
2 Ba 0.0000 0.5000 0.0000
3 Ba 0.5000 0.0000 0.0000
4 Se 0.5000 0.5000 0.5000
5 N 0.0000 0.0000 0.0000

Output
The calculation puts the energy relative to the elements, uncorrected at -94 kJ per mole of atoms. As for the symmetry: P4/mmm, No. 123.

---

BaLiSe2N: optimized geometry, GGA-PBE.

abc: 5.0408 5.0408 4.5885
angles: 90.00 90.00 90.00
Each line ends with the local moment (μB).
Element x y z (fractional)
1 Li 0.0000 0.0000 0.0000  0.01
2 Ba 0.5000 0.5000 0.5000  0.01
3 Se 0.0000 0.5000 0.0000  0.16
4 Se 0.5000 0.0000 0.0000  0.16
5 N 0.0000 0.0000 0.5000  1.55

Output
The calculation puts the energy relative to the elements, uncorrected at -13 kJ per mole of atoms. As for the symmetry: P4/mmm, No. 123.

---

Ba2Li2TaN4: optimized geometry, GGA-PBE.

abc: 3.3690 6.5845 6.2814
angles: 108.78 90.00 104.82
Each line ends with the local moment (μB).
Element x y z (fractional)
1 Ba 0.8615 0.7231 0.4234  0.00
2 Ba 0.1385 0.2769 0.5766  0.00
3 Li 0.3254 0.6508 0.9970  0.00
4 Li 0.6746 0.3492 0.0030  0.00
5 Ta 0.0000 0.0000 0.0000  -0.02
6 N 0.8236 0.6472 0.8375  0.08
7 N 0.1764 0.3528 0.1625  0.08
8 N 0.4804 0.9609 0.2094  0.06
9 N 0.5196 0.0391 0.7906  0.06

Output
The calculation puts the energy relative to the elements, uncorrected at -50 kJ per mole of atoms. As for the symmetry: C2/m, No. 12.

---

BaLiTa4N8: optimized geometry, GGA-PBE.

abc: 6.3755 6.3755 6.6540
angles: 61.38 61.38 60.00
Element x y z (fractional)
1 Ba 0.3682 0.3682 0.8954
2 Li 0.0005 0.0005 0.9986
3 Ta 0.6213 0.6213 0.1362
4 Ta 0.0024 0.4860 0.5091
5 Ta 0.4860 0.0024 0.5091
6 Ta 0.0024 0.0024 0.5091
7 N 0.2424 0.8230 0.6922
8 N 0.8230 0.2424 0.6922
9 N 0.2424 0.2424 0.6922
10 N 0.2272 0.2272 0.3183
11 N 0.7390 0.2483 0.2737
12 N 0.2483 0.7390 0.2737
13 N 0.7390 0.7390 0.2737
14 N 0.7579 0.7579 0.7264

Output
The calculation puts the energy relative to the elements, uncorrected at -68 kJ per mole of atoms. As for the symmetry: R3m, No. 160.

---

Ba2LiTc2N4: optimized geometry, GGA-PBE.

abc: 3.4619 7.1979 6.3226
angles: 109.50 90.00 103.92
Element x y z (fractional)
1 Ba 0.8772 0.7543 0.5068
2 Ba 0.1228 0.2457 0.4932
3 Li 0.0000 0.0000 0.0000
4 Tc 0.3204 0.6407 0.0143
5 Tc 0.6796 0.3593 0.9857
6 N 0.7738 0.5475 0.8048
7 N 0.2262 0.4525 0.1952
8 N 0.4542 0.9083 0.2014
9 N 0.5458 0.0917 0.7986

Output
The calculation puts the energy relative to the elements, uncorrected at -32 kJ per mole of atoms. As for the symmetry: C2/m, No. 12.

---

Number 1: total magnetization 0.0 μB per formula unit. Number 2: total magnetization 2.7 μB per formula unit. Number 3: total magnetization 0.0 μB per formula unit. Number 4: total magnetization 0.0 μB per formula unit. Number 5: total magnetization 5.0 μB per formula unit. Number 6: total magnetization 3.9 μB per formula unit. Number 7: total magnetization 4.7 μB per formula unit. Number 8: total magnetization 0.0 μB per formula unit. Number 9: total magnetization 2.8 μB per formula unit. Number 10: total magnetization 0.4 μB per formula unit. Number 11: total magnetization 0.0 μB per formula unit. Number 12: total magnetization 0.0 μB per formula unit.